Material: CuRh2Au
Method: DFT, PBE
State: relaxed

Computed properties:
ΔE_f	0.124	eV/atom
ΔE to the lowest computed polymorph	0.062	eV/atom
density of states at the Fermi level	1.4724	states/eV per atom
total energy	-21.58	eV/cell
SG	No. 119

abc: 4.748 4.748 4.748
angles: 131.47 131.45 71.09
Last column: magnetic moment on the atom in μB.
Atoms (fractional coordinates):
Rh 0.750 0.250 0.500  0.18
Rh 0.000 0.000 0.000  0.18
Au 0.500 0.500 0.000  0.03
Cu 0.250 0.750 0.500  0.01

---

Material: KTeAs2Br
Method: DFT, PBE
State: relaxed

Computed properties:
ΔE to the lowest computed polymorph	0.897	eV/atom
density of states at the Fermi level	0.8079	states/eV per atom
formation energy without anion corrections	1.00	eV/atom
total energy	-10.21	eV/cell
SG	No. 123

abc: 6.344 6.344 5.655
angles: 90.00 90.00 90.00
Last column: magnetic moment on the atom in μB.
Atoms (fractional coordinates):
Te 0.500 0.500 0.500  -0.65
As 0.000 0.500 0.000  1.06
As 0.500 0.000 0.000  1.06
Br 0.000 0.000 0.500  0.08
K 0.000 0.000 0.000  0.05

---

Material: La2MgBe3Ge4
Method: DFT, PBE
State: relaxed

Computed properties:
ΔE_f	-0.405	eV/atom
density of states at the Fermi level	0.2866	states/eV per atom
total energy	-45.15	eV/cell
SG	No. 115

abc: 4.290 4.290 9.969
angles: 90.00 90.00 90.00
Atoms (fractional coordinates):
Be 0.000 0.500 0.115
Be 0.500 0.000 0.885
Be 0.000 0.000 0.500
Ge 0.000 0.500 0.351
Ge 0.000 0.000 0.000
Ge 0.500 0.500 0.000
Ge 0.500 0.000 0.649
La 0.500 0.000 0.235
La 0.000 0.500 0.765
Mg 0.500 0.500 0.500

---

Material: CaY3Ir
Method: DFT, PBE
State: relaxed

Computed properties:
ΔE_f	-0.370	eV/atom
ΔE to the lowest computed polymorph	0.034	eV/atom
density of states at the Fermi level	1.3216	states/eV per atom
total energy	-64.21	eV/cell
SG	No. 2

abc: 9.921 3.847 8.234
angles: 89.99 86.91 78.80
Atoms (fractional coordinates):
Y 0.953 0.195 0.288
Y 0.094 0.125 0.887
Y 0.341 0.001 0.187
Y 0.436 0.453 0.809
Y 0.189 0.577 0.509
Y 0.576 0.383 0.408
Ca 0.721 0.811 0.053
Ca 0.809 0.766 0.643
Ir 0.134 0.605 0.144
Ir 0.396 0.973 0.551

---

Material: HoHfH
Method: DFT, PBE
State: relaxed

Computed properties:
ΔE to the lowest computed polymorph	0.000	eV/atom
density of states at the Fermi level	0.5322	states/eV per atom
total energy	-18.27	eV/cell
SG	No. 156

abc: 5.346 3.371 3.371
angles: 120.00 90.00 90.00
Atoms (fractional coordinates):
H 0.303 0.333 0.667
Hf 0.096 0.000 0.000
Ho 0.602 0.667 0.333

---

Material: Sr3Cl
Method: DFT, PBE
State: relaxed

Computed properties:
ΔE to the lowest computed polymorph	0.052	eV/atom
density of states at the Fermi level	0.9749	states/eV per atom
formation energy without anion corrections	-0.77	eV/atom
total energy	-19.97	eV/cell
SG	No. 63

abc: 9.500 9.500 4.173
angles: 90.00 90.00 103.96
Atoms (fractional coordinates):
Sr 0.560 0.820 0.750
Sr 0.440 0.180 0.250
Sr 0.884 0.116 0.250
Sr 0.180 0.440 0.750
Sr 0.116 0.884 0.750
Sr 0.820 0.560 0.250
Cl 0.598 0.402 0.750
Cl 0.402 0.598 0.250